Material: W2SeO
Method: DFT, PBE with a Hubbard U
State: relaxed

Unit cell a=4.353 b=4.353 c=4.353 alpha=60.00 beta=60.00 gamma=60.00
Fractional positions:
W  0.250  0.250  0.250
W  0.750  0.750  0.750
Se  0.000  0.000  0.000
O  0.500  0.500  0.500

Values from the calculation:
* total DFT energy (no corrections): -4.861 eV per atom
* size of the total moment: 3.91 μB per cell
* density of states at the Fermi level: 1.28 states/eV per cell